VASP calculation (PBE-GGA) on an optimized crystal structure of Sm6C3S2I.

Cell lengths 9.007, 9.007, 8.141 Å; angles 107.31, 107.31, 24.67 degrees
Positions (direct):
Sm (0.012, 0.012, 0.209)
Sm (0.317, 0.317, 0.435)
Sm (0.339, 0.339, 0.900)
Sm (0.661, 0.661, 0.100)
Sm (0.683, 0.683, 0.565)
Sm (0.988, 0.988, 0.791)
C (0.168, 0.168, 0.330)
C (0.500, 0.500, 0.000)
C (0.832, 0.832, 0.670)
S (0.165, 0.165, 0.829)
S (0.835, 0.835, 0.171)
I (0.500, 0.500, 0.500)

* D(E_F): 2.541 states/eV/cell


VASP calculation (PBE-GGA) on an optimized crystal structure of Sm4CSI2.

Cell lengths 7.005, 3.973, 7.888 Å; angles 90.00, 106.72, 90.00 degrees
Positions (direct):
Sm (0.202, 0.000, 0.176)
Sm (0.245, 0.500, 0.823)
Sm (0.755, 0.500, 0.177)
Sm (0.798, 0.000, 0.824)
C (0.000, 0.500, 0.000)
S (0.500, 0.000, 0.000)
I (0.000, 0.000, 0.500)
I (0.500, 0.500, 0.500)

* D(E_F): 3.586 states/eV/cell


VASP calculation (PBE-GGA) on an optimized crystal structure of Tb6C3S2I.

Cell lengths 8.813, 8.813, 7.966 Å; angles 107.26, 107.26, 24.68 degrees
Positions (direct):
Tb (0.012, 0.012, 0.208)
Tb (0.317, 0.317, 0.436)
Tb (0.339, 0.339, 0.898)
Tb (0.661, 0.661, 0.102)
Tb (0.683, 0.683, 0.564)
Tb (0.988, 0.988, 0.792)
C (0.167, 0.167, 0.331)
C (0.500, 0.500, 0.000)
C (0.833, 0.833, 0.669)
S (0.165, 0.165, 0.829)
S (0.835, 0.835, 0.171)
I (0.500, 0.500, 0.500)

* D(E_F): 2.443 states/eV/cell


VASP calculation (PBE-GGA) on an optimized crystal structure of TeCSI2.

Cell lengths 5.009, 5.009, 4.778 Å; angles 90.00, 90.00, 90.00 degrees
Positions (direct):
Te (0.000, 0.000, 0.000)
C (0.000, 0.000, 0.500)
S (0.500, 0.500, 0.000)
I (0.000, 0.500, 0.500)
I (0.500, 0.000, 0.500)

* D(E_F): 4.320 states/eV/cell


VASP calculation (PBE-GGA) on an optimized crystal structure of WCS2I.

Cell lengths 4.543, 4.543, 5.966 Å; angles 90.00, 90.00, 90.00 degrees
Positions (direct):
W (0.000, 0.000, 0.000)
C (0.500, 0.500, 0.500)
S (0.000, 0.500, 0.000)
S (0.500, 0.000, 0.000)
I (0.000, 0.000, 0.500)

* D(E_F): 4.470 states/eV/cell


VASP calculation (PBE-GGA) on an optimized crystal structure of Y6C2SI3.

Cell lengths 6.723, 6.723, 7.740 Å; angles 98.33, 98.33, 120.02 degrees
Positions (direct):
Y (0.088, 0.443, 0.829)
Y (0.202, 0.202, 0.170)
Y (0.443, 0.088, 0.829)
Y (0.557, 0.912, 0.171)
Y (0.798, 0.798, 0.830)
Y (0.912, 0.557, 0.171)
C (0.167, 0.833, 0.000)
C (0.833, 0.167, 0.000)
S (0.500, 0.500, 0.000)
I (0.000, 0.000, 0.500)
I (0.336, 0.664, 0.500)
I (0.664, 0.336, 0.500)

* D(E_F): 3.977 states/eV/cell


VASP calculation (PBE-GGA) on an optimized crystal structure of Sb3CI.

Cell lengths 4.960, 4.960, 4.960 Å; angles 90.00, 90.00, 90.00 degrees
Positions (direct):
Sb (0.000, 0.000, 0.500)
Sb (0.000, 0.500, 0.000)
Sb (0.500, 0.000, 0.000)
C (0.000, 0.000, 0.000)
I (0.500, 0.500, 0.500)

* D(E_F): 5.330 states/eV/cell


VASP calculation (PBE-GGA) on an optimized crystal structure of Sb3CI.

Cell lengths 5.817, 5.817, 5.817 Å; angles 90.00, 90.00, 90.00 degrees
Positions (direct):
Sb (0.000, 0.000, 0.500)
Sb (0.000, 0.500, 0.000)
Sb (0.500, 0.000, 0.000)
C (0.500, 0.500, 0.500)
I (0.000, 0.000, 0.000)

* D(E_F): 10.673 states/eV/cell


VASP calculation (PBE-GGA) on an optimized crystal structure of ScSb2CI.

Cell lengths 5.565, 5.565, 5.537 Å; angles 90.00, 90.00, 90.00 degrees
Positions (direct):
Sc (0.000, 0.000, 0.000)
Sb (0.000, 0.500, 0.000)
Sb (0.500, 0.000, 0.000)
C (0.500, 0.500, 0.500)
I (0.000, 0.000, 0.500)

* D(E_F): 4.733 states/eV/cell


VASP calculation (PBE-GGA) on an optimized crystal structure of ScSb2CI.

Cell lengths 4.753, 4.753, 5.055 Å; angles 90.00, 90.00, 90.00 degrees
Positions (direct):
Sc (0.000, 0.000, 0.000)
Sb (0.000, 0.500, 0.500)
Sb (0.500, 0.000, 0.500)
C (0.500, 0.500, 0.500)
I (0.500, 0.500, 0.000)

* D(E_F): 3.383 states/eV/cell


VASP calculation (PBE-GGA) on an optimized crystal structure of SbCSeI2.

Cell lengths 5.719, 5.719, 5.667 Å; angles 90.00, 90.00, 90.00 degrees
Positions (direct):
Sb (0.000, 0.000, 0.000)
C (0.500, 0.500, 0.000)
Se (0.000, 0.000, 0.500)
I (0.000, 0.500, 0.500)
I (0.500, 0.000, 0.500)

* D(E_F): 7.661 states/eV/cell


VASP calculation (PBE-GGA) on an optimized crystal structure of SbCSeI2.

Cell lengths 5.039, 5.039, 4.859 Å; angles 90.00, 90.00, 90.00 degrees
Positions (direct):
Sb (0.000, 0.000, 0.000)
C (0.000, 0.000, 0.500)
Se (0.500, 0.500, 0.000)
I (0.000, 0.500, 0.500)
I (0.500, 0.000, 0.500)

* D(E_F): 4.732 states/eV/cell


Calculated magnetization (μB per cell), listed in the same order as above: 0.00; 0.00; 0.00; 0.00; 1.55; 0.00; 0.00; 0.61; 1.57; 0.00; 0.82; 0.00
Calculated E_form (uncorrected) (meV per atom), listed in the same order as above: -975; -1101; -1050; 1403; 1417; -980; 1055; 2481; 1392; 729; 1818; 1220